Entry from Alexandria via LeMat-Bulk: crystalline AlMoF6 at its relaxed geometry (GGA+U).

The structure in extended XYZ format:
```
8
Lattice="5.558 0.005 -0.029 0.043 4.470 2.570 -0.007 0.000 5.156" Properties=species:S:1:pos:R:3 pbc="T T T"
Al 0.001 0.093 0.160
Mo 2.780 0.096 0.146
F 4.411 3.345 3.415
F 1.184 1.316 4.603
F 1.203 0.095 1.567
F 1.237 3.339 2.019
F 4.349 0.097 3.881
F 4.366 1.322 0.842
```

Computed properties:
For the density of states at the Fermi level, the calculation gives 0.0 states/eV/cell. The raw total energy is -44.875 eV per cell.